No. 1
DFT (PBE) results for a relaxed AlRe2Br crystal.

Unit cell a=2.820 b=4.902 c=4.718 alpha=90.00 beta=90.00 gamma=90.00
Fractional positions:
Re1 0.000 0.000 0.000
Re2 0.500 0.500 0.000
Al1 0.500 0.000 0.500
Br1 0.000 0.500 0.500

- Calculated total energy: -6.73 eV/atom
- ΔE_f (raw): 847.1 meV/atom



No. 2
DFT (PBE) results for a relaxed Al2ReBr crystal.

Unit cell a=5.100 b=5.100 c=5.100 alpha=141.97 beta=125.19 gamma=68.65
Fractional positions:
Re1 0.250 0.750 0.500
Al1 0.008 0.008 0.000
Al2 0.492 0.492 0.000
Br1 0.750 0.250 0.500

- Calculated total energy: -4.89 eV/atom
- ΔE_f (raw): 516.4 meV/atom



No. 3
DFT (PBE) results for a relaxed AlRe2Br crystal.

Unit cell a=4.418 b=4.418 c=4.418 alpha=60.00 beta=60.00 gamma=60.00
Fractional positions:
Re1 0.250 0.250 0.250
Re2 0.750 0.750 0.750
Al1 0.000 0.000 0.000
Br1 0.500 0.500 0.500

- Calculated total energy: -6.57 eV/atom
- ΔE_f (raw): 1009.4 meV/atom



No. 4
DFT (PBE) results for a relaxed AlReSb2Br crystal.

Unit cell a=5.378 b=4.884 c=5.378 alpha=90.00 beta=90.00 gamma=90.00
Fractional positions:
Re1 0.500 0.500 0.500
Al1 0.000 0.500 0.000
Br1 0.000 0.000 0.000
Sb1 0.000 0.000 0.500
Sb2 0.500 0.000 0.000

- Calculated total energy: -3.42 eV/atom
- ΔE_f (raw): 1806.6 meV/atom



No. 5
DFT (PBE) results for a relaxed ScAl2ReBr crystal.

Unit cell a=4.938 b=4.575 c=4.938 alpha=90.00 beta=90.00 gamma=90.00
Fractional positions:
Sc1 0.500 0.500 0.500
Re1 0.000 0.500 0.000
Al1 0.000 0.000 0.500
Al2 0.500 0.000 0.000
Br1 0.000 0.000 0.000

- Calculated total energy: -4.36 eV/atom
- ΔE_f (raw): 1226.9 meV/atom



No. 6
DFT (PBE) results for a relaxed AlReSi2Br crystal.

Unit cell a=4.736 b=4.713 c=4.736 alpha=90.00 beta=90.00 gamma=90.00
Fractional positions:
Re1 0.500 0.500 0.500
Si1 0.000 0.000 0.500
Si2 0.500 0.000 0.000
Al1 0.000 0.500 0.000
Br1 0.000 0.000 0.000

- Calculated total energy: -3.78 eV/atom
- ΔE_f (raw): 1962.7 meV/atom



No. 7
DFT (PBE) results for a relaxed AlRe2SnBr crystal.

Unit cell a=4.684 b=5.073 c=4.684 alpha=90.00 beta=90.00 gamma=90.00
Fractional positions:
Re1 0.000 0.000 0.500
Re2 0.500 0.000 0.000
Sn1 0.000 0.500 0.000
Br1 0.500 0.500 0.500
Al1 0.000 0.000 0.000

- Calculated total energy: -4.98 eV/atom
- ΔE_f (raw): 1886.5 meV/atom



No. 8
DFT (PBE) results for a relaxed Al2ReTeBr crystal.

Unit cell a=5.036 b=4.963 c=5.036 alpha=90.00 beta=90.00 gamma=90.00
Fractional positions:
Re1 0.000 0.000 0.000
Te1 0.000 0.500 0.000
Al1 0.000 0.000 0.500
Al2 0.500 0.000 0.000
Br1 0.500 0.500 0.500

- Calculated total energy: -4.81 eV/atom
- ΔE_f (raw): 139.2 meV/atom



No. 9
DFT (PBE) results for a relaxed AlZnRe2Br crystal.

Unit cell a=4.592 b=4.777 c=4.592 alpha=90.00 beta=90.00 gamma=90.00
Fractional positions:
Re1 0.000 0.000 0.500
Re2 0.500 0.000 0.000
Zn1 0.500 0.500 0.500
Al1 0.000 0.500 0.000
Br1 0.000 0.000 0.000

- Calculated total energy: -4.20 eV/atom
- ΔE_f (raw): 2118.5 meV/atom



No. 10
DFT (PBE) results for a relaxed AlRh2Br2 crystal.

Unit cell a=6.537 b=6.537 c=4.779 alpha=90.00 beta=90.00 gamma=90.00
Fractional positions:
Rh1 0.361 0.861 0.000
Rh2 0.861 0.639 0.000
Rh3 0.639 0.139 0.000
Rh4 0.139 0.361 0.000
Al1 0.000 0.000 0.000
Al2 0.500 0.500 0.000
Br1 0.290 0.790 0.500
Br2 0.790 0.710 0.500
Br3 0.710 0.210 0.500
Br4 0.210 0.290 0.500

- Calculated total energy: -4.34 eV/atom
- ΔE_f (raw): 17.9 meV/atom



No. 11
DFT (PBE) results for a relaxed AlRh4Br crystal.

Unit cell a=5.210 b=5.210 c=5.210 alpha=60.00 beta=60.00 gamma=60.00
Fractional positions:
Al1 0.750 0.750 0.750
Rh1 0.875 0.375 0.375
Rh2 0.375 0.375 0.875
Rh3 0.375 0.875 0.375
Rh4 0.375 0.375 0.375
Br1 0.000 0.000 0.000

- Calculated total energy: -5.30 eV/atom
- ΔE_f (raw): 505.3 meV/atom



No. 12
DFT (PBE) results for a relaxed AlRh2Br2 crystal.

Unit cell a=5.278 b=5.278 c=5.305 alpha=60.17 beta=60.17 gamma=90.00
Fractional positions:
Rh1 0.306 0.306 0.387
Rh2 0.694 0.694 0.613
Al1 0.000 0.000 0.000
Br1 0.750 0.250 0.500
Br2 0.250 0.750 0.500

- Calculated total energy: -4.10 eV/atom
- ΔE_f (raw): 254.3 meV/atom



No. 13
DFT (PBE) results for a relaxed AlRu2RhBr crystal.

Unit cell a=4.565 b=4.870 c=4.565 alpha=90.00 beta=90.00 gamma=90.00
Fractional positions:
Ru1 0.000 0.000 0.500
Ru2 0.500 0.000 0.000
Rh1 0.500 0.500 0.500
Al1 0.000 0.000 0.000
Br1 0.000 0.500 0.000

- Calculated total energy: -4.72 eV/atom
- ΔE_f (raw): 1548.1 meV/atom



No. 14
DFT (PBE) results for a relaxed AlRu2RhBr crystal.

Unit cell a=4.536 b=4.554 c=4.536 alpha=90.00 beta=90.00 gamma=90.00
Fractional positions:
Ru1 0.000 0.000 0.500
Ru2 0.500 0.000 0.000
Rh1 0.000 0.500 0.000
Al1 0.500 0.500 0.500
Br1 0.000 0.000 0.000

- Calculated total energy: -5.03 eV/atom
- ΔE_f (raw): 1233.4 meV/atom



No. 15
DFT (PBE) results for a relaxed AlRhSeBr2 crystal.

Unit cell a=5.295 b=5.295 c=4.720 alpha=90.00 beta=90.00 gamma=90.00
Fractional positions:
Rh1 0.000 0.000 0.000
Se1 0.000 0.000 0.500
Br1 0.000 0.500 0.000
Br2 0.500 0.000 0.000
Al1 0.500 0.500 0.500

- Calculated total energy: -3.51 eV/atom
- ΔE_f (raw): 77.2 meV/atom



No. 16
DFT (PBE) results for a relaxed AlRhSeBr2 crystal.

Unit cell a=4.958 b=4.958 c=5.102 alpha=90.00 beta=90.00 gamma=90.00
Fractional positions:
Rh1 0.500 0.500 0.500
Se1 0.000 0.000 0.500
Br1 0.000 0.500 0.000
Br2 0.500 0.000 0.000
Al1 0.000 0.000 0.000

- Calculated total energy: -3.25 eV/atom
- ΔE_f (raw): 331.4 meV/atom



No. 17
DFT (PBE) results for a relaxed TaAl2RhBr crystal.

Unit cell a=5.280 b=4.680 c=5.280 alpha=90.00 beta=90.00 gamma=90.00
Fractional positions:
Rh1 0.000 0.500 0.000
Al1 0.000 0.000 0.500
Al2 0.500 0.000 0.000
Br1 0.500 0.500 0.500
Ta1 0.000 0.000 0.000

- Calculated total energy: -4.76 eV/atom
- ΔE_f (raw): 916.3 meV/atom



No. 18
DFT (PBE) results for a relaxed Al2TcRhBr crystal.

Unit cell a=4.659 b=5.269 c=4.659 alpha=90.00 beta=90.00 gamma=90.00
Fractional positions:
Rh1 0.000 0.000 0.000
Tc1 0.500 0.500 0.500
Br1 0.000 0.500 0.000
Al1 0.000 0.000 0.500
Al2 0.500 0.000 0.000

- Calculated total energy: -4.54 eV/atom
- ΔE_f (raw): 836.4 meV/atom



No. 19
DFT (PBE) results for a relaxed Al2RuBr crystal.

Unit cell a=3.396 b=3.519 c=7.430 alpha=90.00 beta=90.00 gamma=90.00
Fractional positions:
Ru1 0.500 0.500 0.917
Al1 0.000 0.000 0.937
Al2 0.500 0.500 0.228
Br1 0.000 0.000 0.418

- Calculated total energy: -4.66 eV/atom
- ΔE_f (raw): -51.6 meV/atom



No. 20
DFT (PBE) results for a relaxed AlRuBr crystal.

Unit cell a=6.784 b=6.433 c=3.151 alpha=82.49 beta=70.08 gamma=27.42
Fractional positions:
Ru1 0.351 0.351 0.649
Al1 0.992 0.992 0.008
Br1 0.657 0.657 0.343

- Calculated total energy: -4.59 eV/atom
- ΔE_f (raw): 302.3 meV/atom